Entry 1:
# LaSm2ScAs4 | the Alexandria database | PBE | relaxed
# **Calculated formation energy**: -139.8 kJ/mol of atoms
# **Mass density**: 6292 kg/m³
data_LaSm2ScAs4
_chemical_formula_sum 'La1 Sm2 Sc1 As4'
_symmetry_space_group_name_H-M 'P 1 2/m 1'
_symmetry_Int_Tables_number 10
_cell_length_a 7.2306
_cell_length_b 4.1899
_cell_length_c 7.2442
_cell_angle_alpha 90.00
_cell_angle_beta 109.41
_cell_angle_gamma 90.00
loop_
_symmetry_equiv_pos_as_xyz
'x,y,z'
'-x,-y,-z'
'-x,y,-z'
'x,-y,z'
loop_
_atom_site_label
_atom_site_type_symbol
_atom_site_fract_x
_atom_site_fract_y
_atom_site_fract_z
La1 La 0.0000 0.0000 0.0000
Sm1 Sm 0.0000 0.5000 0.5000
Sm2 Sm 0.5000 0.0000 0.5000
Sc1 Sc 0.5000 0.5000 0.0000
As1 As 0.2619 0.5000 0.2485
As2 As 0.2655 0.0000 0.7606

---

Entry 2:
# CoHS | the Alexandria database | PBE | relaxed
# **Mass density**: 4636 kg/m³
# **E**: -117.47 eV/cell
data_CoHS
_chemical_formula_sum 'Co8 H8 S8'
_symmetry_space_group_name_H-M 'P 1'
_symmetry_Int_Tables_number 1
_cell_length_a 5.2713
_cell_length_b 5.3100
_cell_length_c 10.6825
_cell_angle_alpha 78.20
_cell_angle_beta 76.41
_cell_angle_gamma 66.07
loop_
_symmetry_equiv_pos_as_xyz
'x,y,z'
loop_
_atom_site_label
_atom_site_type_symbol
_atom_site_fract_x
_atom_site_fract_y
_atom_site_fract_z
Co1 Co 0.0000 0.0000 0.0000
Co2 Co 0.0123 0.0478 0.5371
Co3 Co 0.2258 0.4817 0.0478
Co4 Co 0.3130 0.4844 0.5258
Co5 Co 0.4401 0.9954 0.3155
Co6 Co 0.5674 0.0407 0.7955
Co7 Co 0.8181 0.4557 0.2561
Co8 Co 0.8576 0.5504 0.7352
H1 H 0.0042 0.7203 0.6034
H2 H 0.2714 0.0489 0.9027
H3 H 0.2968 0.7574 0.0195
H4 H 0.3078 0.8150 0.4514
H5 H 0.5295 0.7212 0.2410
H6 H 0.5657 0.7991 0.7256
H7 H 0.7383 0.7422 0.3186
H8 H 0.9734 0.6585 0.1513
S1 S 0.1131 0.3659 0.3962
S2 S 0.1507 0.1199 0.1532
S3 S 0.2143 0.1796 0.6775
S4 S 0.5937 0.2708 0.1540
S5 S 0.6347 0.3231 0.8997
S6 S 0.6573 0.3591 0.6418
S7 S 0.6726 0.1701 0.4159
S8 S 0.9274 0.7208 0.8957

---

> The lowest mass density belongs to which entry?

CoHS

---

> Look up the mass density of the first one.

6292 kg/m³